A relaxed structure of EuTlNi, computed with PBE.

a b c (Å): 6.705 6.705 6.705
angles (deg): 90.00 90.00 90.00
Space group F-43m (No. 216)
Unique sites:
Eu: 0.000 0.000 0.000 x4
Tl: 0.000 0.000 0.500 x4
Ni: 0.250 0.250 0.250 x4

* ΔE_f: -9.0 kJ/mol of atoms
* uncorrected energy: -74.8 eV for the cell shown

=====

A relaxed structure of Eu3TlNi, computed with PBE.

a b c (Å): 5.502 5.502 5.502
angles (deg): 90.00 90.00 90.00
Space group Pm-3m (No. 221)
Unique sites:
Eu: 0.000 0.000 0.500 x3
Tl: 0.500 0.500 0.500 x1
Ni: 0.000 0.000 0.000 x1

* ΔE_f: -12.6 kJ/mol of atoms
* uncorrected energy: -39.6 eV for the cell shown

=====

A relaxed structure of Eu2TlNi, computed with PBE.

a b c (Å): 3.9017 3.9017 30.5516
angles (deg): 90.00 90.00 120.00
Space group R-3m (No. 166, hexagonal axes)
Unique sites:
Eu: 0.0000 0.0000 0.1118 x6
Tl: 0.0000 0.0000 0.0000 x3
Ni: 0.0000 0.0000 0.5000 x3

* ΔE_f: 3.7 kJ/mol of atoms
* uncorrected energy: -85.6 eV for the cell shown

=====

A relaxed structure of EuTmNi4, computed with PBE.

a b c (Å): 7.191 7.191 7.191
angles (deg): 90.00 90.00 90.00
Space group F-43m (No. 216)
Unique sites:
Eu: 0.000 0.000 0.000 x4
Tm: 0.250 0.250 0.750 x4
Ni: 0.125 0.125 0.375 x16

* ΔE_f: -31.3 kJ/mol of atoms
* uncorrected energy: -159.3 eV for the cell shown

=====

A relaxed structure of EuTmNi, computed with PBE.

a b c (Å): 3.452 3.452 12.614
angles (deg): 90.00 90.00 90.00
Space group I4mm (No. 107)
Unique sites:
Eu: 0.000 0.000 0.000 x2
Tm: 0.000 0.000 0.261 x2
Ni: 0.000 0.000 0.654 x2

* ΔE_f: -17.3 kJ/mol of atoms
* uncorrected energy: -42.1 eV for the cell shown

=====

A relaxed structure of Eu2TmNi, computed with PBE.

a b c (Å): 3.6587 3.6587 31.6294
angles (deg): 90.00 90.00 120.00
Space group R-3m (No. 166, hexagonal axes)
Unique sites:
Eu: 0.0000 0.0000 0.1084 x6
Tm: 0.0000 0.0000 0.0000 x3
Ni: 0.0000 0.0000 0.5000 x3

* ΔE_f: 23.3 kJ/mol of atoms
* uncorrected energy: -89.5 eV for the cell shown

=====

| no. | volume (Å³/f.u.) | DOS(E_F) (states/eV/f.u.) |
| --- | --- | --- |
| 1 | 75.36 | 5.91 |
| 2 | 166.54 | 21.63 |
| 3 | 134.26 | 20.83 |
| 4 | 92.98 | 13.53 |
| 5 | 75.17 | 4.98 |
| 6 | 122.22 | 10.44 |